Rb2VHF6 after structural relaxation, computed with PBE+U.

Output
As for the spin magnetization: 2.00 μB per formula unit. The volume is 17.38 Å³ per atom. Its total DFT energy (no corrections) is -4.745 eV/atom.

Structure (POSCAR):
```
Rb2VHF6
1.0
6.3411 0.0000 0.0000
0.0000 6.3411 0.0000
3.1706 3.1706 4.3233
H F Rb V
1 6 2 1
direct
0.5000 0.5000 0.0000
0.2137 0.2137 0.5726
0.7863 0.7863 0.4274
0.2119 0.2119 0.0000
0.7881 0.7881 0.0000
0.7881 0.2119 0.0000
0.2119 0.7881 0.0000
0.7500 0.2500 0.5000
0.2500 0.7500 0.5000
0.0000 0.0000 0.0000
```